Here is a relaxed Sr2LiCrO4 crystal from Alexandria via LeMat-Bulk. Energies are from PBE+U.

Results
Raw total energy (eV per atom): -6.213
Space group: P2/m (10)

Cell lengths 5.6712, 3.3739, 5.7789 Å; angles 90.00, 108.81, 90.00 degrees
Positions (direct):
Sr 0.0000 0.0000 0.0000
Sr 0.0000 0.5000 0.5000
Li 0.5000 0.0000 0.5000
Cr 0.5000 0.5000 0.0000
O 0.2871 0.5000 0.2356
O 0.2973 0.0000 0.7789
O 0.7027 0.0000 0.2211
O 0.7129 0.5000 0.7644